Record 1
VASP calculation (PBE) on a relaxed structure of PuAs2H.

Cell lengths 4.3946, 4.3946, 18.4049 Å; angles 90.00, 90.00, 120.00 degrees
Space group R-3m (No. 166, hexagonal axes)
Unique sites:
1 Pu 0.0000 0.0000 0.0000 [3 per cell]
2 As 0.0000 0.0000 0.4045 [6 per cell]
3 H 0.0000 0.0000 0.5000 [3 per cell]

Summary:
- spin magnetization (μB per cell) = 12.75


Record 2
VASP calculation (PBE) on a relaxed structure of KAs.

Cell lengths 4.9533, 5.6668, 9.6391 Å; angles 90.00, 90.00, 90.00 degrees
Space group Pnma (No. 62)
Unique sites:
1 K 0.1841 0.2500 0.0848 [4 per cell]
2 As 0.0253 0.2500 0.7199 [4 per cell]

Summary:
- spin magnetization (μB per cell) = 0.00
- formation energy (eV/atom) = -0.3118
- relative energy among the computed polymorphs (meV/atom) = 152


Record 3
VASP calculation (PBE) on a relaxed structure of Be2TlBr.

Cell lengths 3.5063, 3.5136, 7.0423 Å; angles 90.00, 90.00, 90.00 degrees
Space group Pmmm (No. 47)
Unique sites:
1 Be 0.0000 0.0000 0.0000 [1 per cell]
2 Be 0.0000 0.5000 0.5000 [1 per cell]
3 Tl 0.5000 0.0000 0.5000 [1 per cell]
4 Br 0.5000 0.5000 0.0000 [1 per cell]

Summary:
- spin magnetization (μB per cell) = 0.00
- relative energy among the computed polymorphs (meV/atom) = 448


Record 4
VASP calculation (PBE) on a relaxed structure of RbNdTl2.

Cell lengths 3.9377, 3.9377, 33.1155 Å; angles 90.00, 90.00, 120.00 degrees
Space group R-3m (No. 166, hexagonal axes)
Unique sites:
1 Rb 0.0000 0.0000 0.0000 [3 per cell]
2 Nd 0.0000 0.0000 0.5000 [3 per cell]
3 Tl 0.0000 0.0000 0.2413 [6 per cell]

Summary:
- spin magnetization (μB per cell) = 0.00
- formation energy (eV/atom) = -0.0336
- relative energy among the computed polymorphs (meV/atom) = 160


Record 5
VASP calculation (PBE) on a relaxed structure of Tb11Tl9Cd4.

Cell lengths 15.5596, 22.5521, 3.7377 Å; angles 90.00, 90.00, 90.00 degrees
Space group Cmmm (No. 65)
Unique sites:
1 Tb 0.0000 0.0000 0.0000 [2 per cell]
2 Tb 0.0000 0.1751 0.0000 [4 per cell]
3 Tb 0.0000 0.3624 0.0000 [4 per cell]
4 Tb 0.2372 0.1725 0.0000 [8 per cell]
5 Tb 0.2455 0.0000 0.0000 [4 per cell]
6 Tl 0.0000 0.5000 0.5000 [2 per cell]
7 Tl 0.1147 0.2659 0.5000 [8 per cell]
8 Tl 0.1197 0.0864 0.5000 [8 per cell]
9 Cd 0.1515 0.4111 0.5000 [8 per cell]

Summary:
- spin magnetization (μB per cell) = 0.01
- formation energy (eV/atom) = -0.2969


Record 6
VASP calculation (PBE) on a relaxed structure of BaCeAs2Pd2.

Cell lengths 4.4217, 4.4217, 8.3996 Å; angles 90.00, 90.00, 120.00 degrees
Space group P-3m1 (No. 164)
Unique sites:
1 Ba 0.0000 0.0000 0.0000 [1 per cell]
2 Ce 0.0000 0.0000 0.5000 [1 per cell]
3 As 0.3333 0.6667 0.2888 [2 per cell]
4 Pd 0.3333 0.6667 0.7220 [2 per cell]

Summary:
- spin magnetization (μB per cell) = 0.27
- formation energy (eV/atom) = -1.0835


Record 7
VASP calculation (PBE) on a relaxed structure of TbSm3Er2.

Cell lengths 17.5288, 7.1529, 6.1832 Å; angles 90.00, 90.15, 90.00 degrees
Space group C2/c (No. 15)
Unique sites:
1 Tb 0.0000 0.1253 0.2500 [4 per cell]
2 Sm 0.0000 0.3753 0.7500 [4 per cell]
3 Sm 0.1671 0.1254 0.9161 [8 per cell]
4 Er 0.1670 0.3753 0.4167 [8 per cell]

Summary:
- spin magnetization (μB per cell) = 0.00
- formation energy (eV/atom) = 0.0186


Record 8
VASP calculation (PBE) on a relaxed structure of TiPd3Cl.

Cell lengths 4.7364, 4.7364, 4.7364 Å; angles 90.00, 90.00, 90.00 degrees
Space group Pm-3m (No. 221)
Unique sites:
1 Ti 0.0000 0.0000 0.0000 [1 per cell]
2 Pd 0.0000 0.0000 0.5000 [3 per cell]
3 Cl 0.5000 0.5000 0.5000 [1 per cell]

Summary:
- spin magnetization (μB per cell) = 0.00
- relative energy among the computed polymorphs (meV/atom) = 0


no.,uncorrected energy (eV/f.u.)
1,-27.07
2,-6.37
3,-8.38
4,-10.60
5,-83.02
6,-34.04
7,-27.80
8,-22.71